1.
VASP calculation (GGA-PBE) on a geometry-optimized MgZnCd4 structure.

## Properties
**Total magnetic moment**: 0.00 μB/f.u.
**ΔE to the lowest computed polymorph**: 0.0 meV per atom
**Space group**: C2/m, No. 12

Unit cell a=7.8336 b=7.8336 c=5.0432 alpha=107.91 beta=107.91 gamma=25.92
With the nearest neighbours (Å) after each atom.
Sites, in units of the cell vectors:
Mg 0.0000 0.0000 0.0000  6 Cd 2.92-3.06, 4 Zn 3.07
Zn 0.5000 0.5000 0.5000  6 Cd 2.95-3.01, 4 Mg 3.07
Cd 0.1607 0.1607 0.5036  1 Mg 2.92, 2 Zn 3.01, 7 Cd 3.03-3.25
Cd 0.3359 0.3359 0.9975  1 Zn 2.95, 7 Cd 3.03-3.16, 2 Mg 3.06
Cd 0.6641 0.6641 0.0025  1 Zn 2.95, 7 Cd 3.03-3.16, 2 Mg 3.06
Cd 0.8393 0.8393 0.4964  1 Mg 2.92, 2 Zn 3.01, 7 Cd 3.03-3.25

---

2.
VASP calculation (GGA-PBE) on a geometry-optimized HfGa2W structure.

## Properties
**Total magnetic moment**: 0.00 μB/f.u.
**ΔE to the lowest computed polymorph**: 297.0 meV per atom
**Space group**: R-3m, No. 166

Unit cell a=10.2968 b=10.2968 c=10.2968 alpha=16.17 beta=16.17 gamma=16.17
With the nearest neighbours (Å) after each atom.
Sites, in units of the cell vectors:
Hf 0.0000 0.0000 0.0000  6 Hf 2.90, 6 Ga 2.96
Ga 0.4136 0.4136 0.4136  1 W 2.63, 6 Ga 2.90
Ga 0.5864 0.5864 0.5864  1 W 2.63, 6 Ga 2.90
W 0.5000 0.5000 0.5000  2 Ga 2.63, 6 W 2.90

---

3.
VASP calculation (GGA-PBE) on a geometry-optimized Sr4CoPb structure.

## Properties
**Total magnetic moment**: 0.96 μB/f.u.
**Space group**: F-43m, No. 216
**Electronic total energy**: -2.1719 eV per atom

Unit cell a=6.9305 b=6.9305 c=6.9305 alpha=60.00 beta=60.00 gamma=60.00
With the nearest neighbours (Å) after each atom.
Sites, in units of the cell vectors:
Sr 0.1251 0.1251 0.1251  6 Sr 3.46-3.47
Sr 0.1251 0.1251 0.6247  6 Sr 3.46-3.47
Sr 0.1251 0.6247 0.1251  6 Sr 3.46-3.47
Sr 0.6247 0.1251 0.1251  6 Sr 3.46-3.47
Co 0.7500 0.7500 0.7500  12 Sr 4.06, 4 Pb 4.24
Pb 0.5000 0.5000 0.5000  12 Sr 4.06, 4 Co 4.24

---

4.
VASP calculation (GGA-PBE) on a geometry-optimized CeHfTiN3 structure.

## Properties
**Total magnetic moment**: 0.00 μB/f.u.
**Raw formation energy**: -1.408 eV/atom
**Space group**: P2_1/m, No. 11

Unit cell a=6.8828 b=3.1905 c=8.1583 alpha=90.00 beta=93.84 gamma=90.00
With the nearest neighbours (Å) after each atom.
Sites, in units of the cell vectors:
Ce 0.1393 0.2500 0.1800  7 N 2.48-2.71
Ce 0.8607 0.7500 0.8200  7 N 2.48-2.71
Hf 0.3680 0.7500 0.8684  5 N 2.09-2.24
Hf 0.6320 0.2500 0.1316  5 N 2.09-2.24
Ti 0.1468 0.2500 0.5774  4 N 2.02-2.21
Ti 0.8532 0.7500 0.4226  4 N 2.02-2.21
N 0.1471 0.7500 0.4262  3 Ti 2.02
N 0.1507 0.2500 0.8482  2 Hf 2.19, 1 Ti 2.21
N 0.4039 0.7500 0.1250  3 Hf 2.09-2.24
N 0.5961 0.2500 0.8750  3 Hf 2.09-2.24
N 0.8493 0.7500 0.1518  2 Hf 2.19, 1 Ti 2.21
N 0.8529 0.2500 0.5738  3 Ti 2.02

---

5.
VASP calculation (GGA-PBE) on a geometry-optimized SmSn2Bi structure.

## Properties
**Total magnetic moment**: 0.00 μB/f.u.
**ΔE to the lowest computed polymorph**: 28.8 meV per atom
**Space group**: Pnma, No. 62

Unit cell a=6.5076 b=11.1892 c=6.4232 alpha=90.00 beta=90.00 gamma=90.00
With the nearest neighbours (Å) after each atom.
Sites, in units of the cell vectors:
Sm 0.1406 0.2500 0.0590  4 Bi 3.20-3.36, 6 Sn 3.34-3.42
Sm 0.3594 0.7500 0.5590  4 Bi 3.20-3.36, 6 Sn 3.34-3.42
Sm 0.6406 0.2500 0.4410  4 Bi 3.20-3.36, 6 Sn 3.34-3.42
Sm 0.8594 0.7500 0.9410  4 Bi 3.20-3.36, 6 Sn 3.34-3.42
Sn 0.1581 0.5122 0.7973  5 Sn 3.31-3.44, 2 Bi 3.31-3.41, 3 Sm 3.34-3.42
Sn 0.1581 0.9878 0.7973  5 Sn 3.31-3.44, 2 Bi 3.31-3.41, 3 Sm 3.34-3.42
Sn 0.3419 0.0122 0.2973  5 Sn 3.31-3.44, 2 Bi 3.31-3.41, 3 Sm 3.34-3.42
Sn 0.3419 0.4878 0.2973  5 Sn 3.31-3.44, 2 Bi 3.31-3.41, 3 Sm 3.34-3.42
Sn 0.6581 0.5122 0.7027  5 Sn 3.31-3.44, 2 Bi 3.31-3.41, 3 Sm 3.34-3.42
Sn 0.6581 0.9878 0.7027  5 Sn 3.31-3.44, 2 Bi 3.31-3.41, 3 Sm 3.34-3.42
Sn 0.8419 0.0122 0.2027  5 Sn 3.31-3.44, 2 Bi 3.31-3.41, 3 Sm 3.34-3.42
Sn 0.8419 0.4878 0.2027  5 Sn 3.31-3.44, 2 Bi 3.31-3.41, 3 Sm 3.34-3.42
Bi 0.1372 0.2500 0.5579  4 Sm 3.20-3.36, 4 Sn 3.31-3.41
Bi 0.3628 0.7500 0.0579  4 Sm 3.20-3.36, 4 Sn 3.31-3.41
Bi 0.6372 0.2500 0.9421  4 Sm 3.20-3.36, 4 Sn 3.31-3.41
Bi 0.8628 0.7500 0.4421  4 Sm 3.20-3.36, 4 Sn 3.31-3.41

---

6.
VASP calculation (GGA-PBE) on a geometry-optimized Tm5MgBi6 structure.

## Properties
**Total magnetic moment**: 0.00 μB/f.u.
**Space group**: C2/m, No. 12
**Electronic total energy**: -4.5722 eV per atom

Unit cell a=7.6673 b=7.6673 c=7.6783 alpha=99.61 beta=99.61 gamma=119.87
With the nearest neighbours (Å) after each atom.
Sites, in units of the cell vectors:
Tm 0.0000 0.0000 0.0000  6 Bi 3.14-3.15
Tm 0.1663 0.8337 0.5000  6 Bi 3.13-3.14
Tm 0.3317 0.6683 0.0000  6 Bi 3.14-3.15
Tm 0.6683 0.3317 0.0000  6 Bi 3.14-3.15
Tm 0.8337 0.1663 0.5000  6 Bi 3.13-3.14
Mg 0.5000 0.5000 0.5000  6 Bi 3.10-3.12
Bi 0.0876 0.4178 0.2533  1 Mg 3.10, 5 Tm 3.13-3.15
Bi 0.2527 0.2527 0.7504  1 Mg 3.12, 5 Tm 3.14-3.15
Bi 0.4178 0.0876 0.2533  1 Mg 3.10, 5 Tm 3.13-3.15
Bi 0.5822 0.9124 0.7467  1 Mg 3.10, 5 Tm 3.13-3.15
Bi 0.7473 0.7473 0.2496  1 Mg 3.12, 5 Tm 3.14-3.15
Bi 0.9124 0.5822 0.7467  1 Mg 3.10, 5 Tm 3.13-3.15

---

7.
VASP calculation (GGA-PBE) on a geometry-optimized Tm3Ag5Bi12 structure.

## Properties
**Total magnetic moment**: 0.00 μB/f.u.
**Space group**: Ia-3d, No. 230
**Electronic total energy**: -3.6962 eV per atom

Unit cell a=15.3422 b=15.3422 c=15.3422 alpha=109.47 beta=109.47 gamma=109.47
With the nearest neighbours (Å) after each atom.
Sites, in units of the cell vectors:
Tm 0.1250 0.2500 0.3750  8 Bi 3.18-3.22
Tm 0.1250 0.3750 0.7500  8 Bi 3.18-3.22
Tm 0.2500 0.3750 0.1250  8 Bi 3.18-3.22
Tm 0.2500 0.8750 0.6250  8 Bi 3.18-3.22
Tm 0.3750 0.1250 0.2500  8 Bi 3.18-3.22
Tm 0.3750 0.7500 0.1250  8 Bi 3.18-3.22
Tm 0.6250 0.2500 0.8750  8 Bi 3.18-3.22
Tm 0.6250 0.8750 0.7500  8 Bi 3.18-3.22
Tm 0.7500 0.1250 0.3750  8 Bi 3.18-3.22
Tm 0.7500 0.6250 0.8750  8 Bi 3.18-3.22
Tm 0.8750 0.6250 0.2500  8 Bi 3.18-3.22
Tm 0.8750 0.7500 0.6250  8 Bi 3.18-3.22
Ag 0.0000 0.0000 0.0000  6 Bi 3.03
Ag 0.0000 0.0000 0.5000  6 Bi 3.03
Ag 0.0000 0.5000 0.0000  6 Bi 3.03
Ag 0.0000 0.5000 0.5000  6 Bi 3.03
Ag 0.1250 0.7500 0.8750  4 Bi 2.93
Ag 0.1250 0.8750 0.2500  4 Bi 2.93
Ag 0.2500 0.1250 0.8750  4 Bi 2.93
Ag 0.2500 0.6250 0.3750  4 Bi 2.93
Ag 0.3750 0.2500 0.6250  4 Bi 2.93
Ag 0.3750 0.6250 0.7500  4 Bi 2.93
Ag 0.5000 0.0000 0.0000  6 Bi 3.03
Ag 0.5000 0.0000 0.5000  6 Bi 3.03
Ag 0.5000 0.5000 0.0000  6 Bi 3.03
Ag 0.5000 0.5000 0.5000  6 Bi 3.03
Ag 0.6250 0.3750 0.2500  4 Bi 2.93
Ag 0.6250 0.7500 0.3750  4 Bi 2.93
Ag 0.7500 0.3750 0.6250  4 Bi 2.93
Ag 0.7500 0.8750 0.1250  4 Bi 2.93
Ag 0.8750 0.1250 0.7500  4 Bi 2.93
Ag 0.8750 0.2500 0.1250  4 Bi 2.93
Bi 0.0614 0.2261 0.1453  2 Ag 2.93-3.03, 2 Tm 3.18-3.22, 1 Bi 3.24
Bi 0.0614 0.3353 0.9162  2 Ag 2.93-3.03, 2 Tm 3.18-3.22, 1 Bi 3.24
Bi 0.0809 0.7261 0.6647  2 Ag 2.93-3.03, 2 Tm 3.18-3.22, 1 Bi 3.24
Bi 0.0809 0.8547 0.4162  2 Ag 2.93-3.03, 2 Tm 3.18-3.22, 1 Bi 3.24
Bi 0.0838 0.6453 0.4191  2 Ag 2.93-3.03, 2 Tm 3.18-3.22, 1 Bi 3.24
Bi 0.0838 0.9386 0.6647  2 Ag 2.93-3.03, 2 Tm 3.18-3.22, 1 Bi 3.24
Bi 0.1453 0.0614 0.2261  2 Ag 2.93-3.03, 2 Tm 3.18-3.22, 1 Bi 3.24
Bi 0.1453 0.5838 0.9191  2 Ag 2.93-3.03, 2 Tm 3.18-3.22, 1 Bi 3.24
Bi 0.1647 0.2261 0.5809  2 Ag 2.93-3.03, 2 Tm 3.18-3.22, 1 Bi 3.24
Bi 0.1647 0.4386 0.5838  2 Ag 2.93-3.03, 2 Tm 3.18-3.22, 1 Bi 3.24
Bi 0.2261 0.1453 0.0614  2 Ag 2.93-3.03, 2 Tm 3.18-3.22, 1 Bi 3.24
Bi 0.2261 0.5809 0.1647  2 Ag 2.93-3.03, 2 Tm 3.18-3.22, 1 Bi 3.24
Bi 0.2739 0.3353 0.9191  2 Ag 2.93-3.03, 2 Tm 3.18-3.22, 1 Bi 3.24
Bi 0.2739 0.4386 0.3547  2 Ag 2.93-3.03, 2 Tm 3.18-3.22, 1 Bi 3.24
Bi 0.3353 0.9162 0.0614  2 Ag 2.93-3.03, 2 Tm 3.18-3.22, 1 Bi 3.24
Bi 0.3353 0.9191 0.2739  2 Ag 2.93-3.03, 2 Tm 3.18-3.22, 1 Bi 3.24
Bi 0.3547 0.2739 0.4386  2 Ag 2.93-3.03, 2 Tm 3.18-3.22, 1 Bi 3.24
Bi 0.3547 0.5809 0.9162  2 Ag 2.93-3.03, 2 Tm 3.18-3.22, 1 Bi 3.24
Bi 0.4162 0.0809 0.8547  2 Ag 2.93-3.03, 2 Tm 3.18-3.22, 1 Bi 3.24
Bi 0.4162 0.8353 0.5614  2 Ag 2.93-3.03, 2 Tm 3.18-3.22, 1 Bi 3.24
Bi 0.4191 0.0838 0.6453  2 Ag 2.93-3.03, 2 Tm 3.18-3.22, 1 Bi 3.24
Bi 0.4191 0.8353 0.7739  2 Ag 2.93-3.03, 2 Tm 3.18-3.22, 1 Bi 3.24
Bi 0.4386 0.3547 0.2739  2 Ag 2.93-3.03, 2 Tm 3.18-3.22, 1 Bi 3.24
Bi 0.4386 0.5838 0.1647  2 Ag 2.93-3.03, 2 Tm 3.18-3.22, 1 Bi 3.24
Bi 0.5614 0.4162 0.8353  2 Ag 2.93-3.03, 2 Tm 3.18-3.22, 1 Bi 3.24
Bi 0.5614 0.6453 0.7261  2 Ag 2.93-3.03, 2 Tm 3.18-3.22, 1 Bi 3.24
Bi 0.5809 0.1647 0.2261  2 Ag 2.93-3.03, 2 Tm 3.18-3.22, 1 Bi 3.24
Bi 0.5809 0.9162 0.3547  2 Ag 2.93-3.03, 2 Tm 3.18-3.22, 1 Bi 3.24
Bi 0.5838 0.1647 0.4386  2 Ag 2.93-3.03, 2 Tm 3.18-3.22, 1 Bi 3.24
Bi 0.5838 0.9191 0.1453  2 Ag 2.93-3.03, 2 Tm 3.18-3.22, 1 Bi 3.24
Bi 0.6453 0.4191 0.0838  2 Ag 2.93-3.03, 2 Tm 3.18-3.22, 1 Bi 3.24
Bi 0.6453 0.7261 0.5614  2 Ag 2.93-3.03, 2 Tm 3.18-3.22, 1 Bi 3.24
Bi 0.6647 0.0809 0.7261  2 Ag 2.93-3.03, 2 Tm 3.18-3.22, 1 Bi 3.24
Bi 0.6647 0.0838 0.9386  2 Ag 2.93-3.03, 2 Tm 3.18-3.22, 1 Bi 3.24
Bi 0.7261 0.5614 0.6453  2 Ag 2.93-3.03, 2 Tm 3.18-3.22, 1 Bi 3.24
Bi 0.7261 0.6647 0.0809  2 Ag 2.93-3.03, 2 Tm 3.18-3.22, 1 Bi 3.24
Bi 0.7739 0.4191 0.8353  2 Ag 2.93-3.03, 2 Tm 3.18-3.22, 1 Bi 3.24
Bi 0.7739 0.8547 0.9386  2 Ag 2.93-3.03, 2 Tm 3.18-3.22, 1 Bi 3.24
Bi 0.8353 0.5614 0.4162  2 Ag 2.93-3.03, 2 Tm 3.18-3.22, 1 Bi 3.24
Bi 0.8353 0.7739 0.4191  2 Ag 2.93-3.03, 2 Tm 3.18-3.22, 1 Bi 3.24
Bi 0.8547 0.4162 0.0809  2 Ag 2.93-3.03, 2 Tm 3.18-3.22, 1 Bi 3.24
Bi 0.8547 0.9386 0.7739  2 Ag 2.93-3.03, 2 Tm 3.18-3.22, 1 Bi 3.24
Bi 0.9162 0.0614 0.3353  2 Ag 2.93-3.03, 2 Tm 3.18-3.22, 1 Bi 3.24
Bi 0.9162 0.3547 0.5809  2 Ag 2.93-3.03, 2 Tm 3.18-3.22, 1 Bi 3.24
Bi 0.9191 0.1453 0.5838  2 Ag 2.93-3.03, 2 Tm 3.18-3.22, 1 Bi 3.24
Bi 0.9191 0.2739 0.3353  2 Ag 2.93-3.03, 2 Tm 3.18-3.22, 1 Bi 3.24
Bi 0.9386 0.6647 0.0838  2 Ag 2.93-3.03, 2 Tm 3.18-3.22, 1 Bi 3.24
Bi 0.9386 0.7739 0.8547  2 Ag 2.93-3.03, 2 Tm 3.18-3.22, 1 Bi 3.24

---

8.
VASP calculation (GGA-PBE) on a geometry-optimized Sc2SnSb structure.

## Properties
**Total magnetic moment**: 0.00 μB/f.u.
**ΔE to the lowest computed polymorph**: 90.7 meV per atom
**Raw formation energy**: -0.678 eV/atom
**Space group**: R-3m, No. 166

Unit cell a=7.7850 b=7.7850 c=7.7850 alpha=29.58 beta=29.58 gamma=29.58
With the nearest neighbours (Å) after each atom.
Sites, in units of the cell vectors:
Sc 0.2461 0.2461 0.2461  3 Sb 2.90, 3 Sn 3.01
Sc 0.7539 0.7539 0.7539  3 Sb 2.90, 3 Sn 3.01
Sn 0.0000 0.0000 0.0000  6 Sc 3.01
Sb 0.5000 0.5000 0.5000  6 Sc 2.90

---

Q: Which of these has the highest total magnetic moment?
A: Sr4CoPb